A relaxed Sm2Mg2Cu15 crystal. Source: Alexandria, functional PBE.

* energy relative to the elements: -0.132 eV/atom
* M_tot: 0.0 μB per cell
* crystal system: trigonal

a b c (Å): 8.6928 8.6928 12.8257
angles (deg): 90.00 90.00 120.00
With the nearest neighbours (Å) after each atom.
Space group R-3m (No. 166, hexagonal axes)
Unique sites:
Sm 0.0000 0.0000 0.1474 (multiplicity 6)  15 Cu 3.03-3.36, 1 Mg 3.18
Mg 0.0000 0.0000 0.3952 (multiplicity 6)  12 Cu 2.63-2.93, 1 Mg 2.69
Cu 0.0000 0.2990 0.5000 (multiplicity 18)  8 Cu 2.52-2.66
Cu 0.0000 0.5000 0.0000 (multiplicity 9)  8 Cu 2.52, 2 Mg 2.63
Cu 0.0026 0.5013 0.6536 (multiplicity 18)  8 Cu 2.51-2.66, 1 Mg 2.71